Here is SiTcW2 after structural relaxation from the Alexandria database. Energies are from GGA-PBE.

a b c (Å): 2.7884 2.7884 8.2182
angles (deg): 90.00 90.00 109.92
With the nearest neighbours (Å) after each atom.
Atoms (fractional coordinates):
Si1 0.0000 0.0000 0.0000  2 Tc 2.45, 2 W 2.57
Tc1 0.5000 0.5000 0.7745  2 Si 2.45, 2 W 2.68
W1 0.0000 0.0000 0.5124  2 Tc 2.68, 6 W 2.73-2.79
W2 0.5000 0.5000 0.2439  2 Si 2.57, 6 W 2.73-2.79

Summary:
calculated volume: 60 Å³ per cell
crystal system: orthorhombic
SG: No. 35
raw formation energy: 52 meV/atom


Here is GaAg2Te3 after structural relaxation from the Alexandria database. Energies are from GGA-PBE.

a b c (Å): 7.8016 7.8016 7.6234
angles (deg): 99.23 99.23 120.39
With the nearest neighbours (Å) after each atom.
Atoms (fractional coordinates):
Ga1 0.0823 0.9177 0.5000  4 Te 2.64-2.71
Ga2 0.9177 0.0823 0.0000  4 Te 2.64-2.71
Ag1 0.2544 0.7632 0.0102  4 Te 2.76-2.79
Ag2 0.4307 0.5991 0.5115  4 Te 2.75-2.81
Ag3 0.5991 0.4307 0.0115  4 Te 2.75-2.81
Ag4 0.7632 0.2544 0.5102  4 Te 2.76-2.79
Te1 0.0544 0.2098 0.3747  2 Ga 2.70-2.71, 2 Ag 2.79-2.81
Te2 0.2098 0.0544 0.8747  2 Ga 2.70-2.71, 2 Ag 2.79-2.81
Te3 0.3755 0.8878 0.3924  1 Ga 2.65, 3 Ag 2.76-2.77
Te4 0.5551 0.7258 0.8929  1 Ga 2.64, 3 Ag 2.75-2.77
Te5 0.7258 0.5551 0.3929  1 Ga 2.64, 3 Ag 2.75-2.77
Te6 0.8878 0.3755 0.8924  1 Ga 2.65, 3 Ag 2.76-2.77

Summary:
calculated volume: 379 Å³ per cell
energy relative to the lowest polymorph listed for this composition: 0.000 eV per atom
crystal system: monoclinic
SG: No. 9
raw formation energy: -175 meV/atom


Here is CaTbHo2Se4 after structural relaxation from the Alexandria database. Energies are from GGA-PBE.

a b c (Å): 7.0933 4.0774 7.1049
angles (deg): 90.00 109.15 90.00
With the nearest neighbours (Å) after each atom.
Atoms (fractional coordinates):
Ca1 0.0000 0.0000 0.0000  6 Se 2.90-2.91
Tb1 0.0000 0.5000 0.5000  6 Se 2.91
Ho1 0.5000 0.0000 0.5000  6 Se 2.88
Ho2 0.5000 0.5000 0.0000  6 Se 2.88
Se1 0.2533 0.0000 0.7516  3 Ho 2.88, 1 Ca 2.90, 2 Tb 2.91
Se2 0.2544 0.5000 0.2518  3 Ho 2.88, 1 Tb 2.91, 2 Ca 2.91
Se3 0.7456 0.5000 0.7482  3 Ho 2.88, 1 Tb 2.91, 2 Ca 2.91
Se4 0.7467 0.0000 0.2484  3 Ho 2.88, 1 Ca 2.90, 2 Tb 2.91

Summary:
calculated volume: 194 Å³ per cell
crystal system: monoclinic
SG: No. 10
raw formation energy: -1801 meV/atom


Here is Rb2TbHgCl6 after structural relaxation from the Alexandria database. Energies are from GGA-PBE.

a b c (Å): 7.6835 11.1421 8.2526
angles (deg): 90.00 90.00 90.00
With the nearest neighbours (Å) after each atom.
Atoms (fractional coordinates):
Rb1 0.2500 0.0315 0.1991  5 Cl 3.43-3.64
Rb2 0.2500 0.4685 0.1991  5 Cl 3.43-3.64
Rb3 0.7500 0.5315 0.8009  5 Cl 3.43-3.64
Rb4 0.7500 0.9685 0.8009  5 Cl 3.43-3.64
Tb1 0.2500 0.7500 0.7768  6 Cl 2.64-2.66
Tb2 0.7500 0.2500 0.2232  6 Cl 2.64-2.66
Hg1 0.2500 0.2500 0.7142  6 Cl 2.96-3.03
Hg2 0.7500 0.7500 0.2858  6 Cl 2.96-3.03
Cl1 0.0060 0.2500 0.4362  1 Tb 2.64
Cl2 0.0096 0.7500 0.0093  1 Tb 2.66
Cl3 0.2500 0.5120 0.7872  1 Tb 2.65
Cl4 0.2500 0.9880 0.7872  1 Tb 2.65
Cl5 0.4904 0.7500 0.0093  1 Tb 2.66
Cl6 0.4940 0.2500 0.4362  1 Tb 2.64
Cl7 0.5060 0.7500 0.5638  1 Tb 2.64
Cl8 0.5096 0.2500 0.9907  1 Tb 2.66
Cl9 0.7500 0.0120 0.2128  1 Tb 2.65
Cl10 0.7500 0.4880 0.2128  1 Tb 2.65
Cl11 0.9904 0.2500 0.9907  1 Tb 2.66
Cl12 0.9940 0.7500 0.5638  1 Tb 2.64

Summary:
calculated volume: 707 Å³ per cell
crystal system: orthorhombic
SG: No. 59
raw formation energy: -1721 meV/atom


Here is YFeSb2 after structural relaxation from the Alexandria database. Energies are from GGA-PBE.

a b c (Å): 6.6072 6.6072 6.6072
angles (deg): 36.26 36.26 36.26
With the nearest neighbours (Å) after each atom.
Atoms (fractional coordinates):
Y1 0.0000 0.0000 0.0000  6 Sb 3.07
Fe1 0.5000 0.5000 0.5000  6 Sb 2.63
Sb1 0.2283 0.2283 0.2283  3 Fe 2.63
Sb2 0.7717 0.7717 0.7717  3 Fe 2.63

Summary:
calculated volume: 90 Å³ per cell
crystal system: trigonal
SG: No. 166
raw formation energy: -309 meV/atom


Here is La5Pm5Dy2 after structural relaxation from the Alexandria database. Energies are from GGA-PBE.

a b c (Å): 8.2466 8.2466 11.5586
angles (deg): 115.27 115.27 36.80
With the nearest neighbours (Å) after each atom.
Atoms (fractional coordinates):
La1 0.0000 0.0000 0.0000  4 La 3.68, 8 Pm 3.69-3.70
La2 0.0816 0.0816 0.7469  7 Pm 3.64-3.70, 2 Dy 3.65-3.67, 3 La 3.68-3.71
La3 0.2494 0.2494 0.2533  3 Dy 3.61-3.64, 6 Pm 3.66-3.70, 3 La 3.68-3.71
La4 0.7506 0.7506 0.7467  3 Dy 3.61-3.64, 6 Pm 3.66-3.70, 3 La 3.68-3.71
La5 0.9184 0.9184 0.2531  7 Pm 3.64-3.70, 2 Dy 3.65-3.67, 3 La 3.68-3.71
Pm1 0.3329 0.3329 0.0004  4 Pm 3.67-3.71, 8 La 3.68-3.70
Pm2 0.4147 0.4147 0.7456  3 Dy 3.62-3.63, 3 Pm 3.64-3.71, 6 La 3.66-3.70
Pm3 0.5000 0.5000 0.5000  2 Pm 3.64, 6 La 3.64-3.67, 4 Dy 3.70
Pm4 0.5853 0.5853 0.2544  3 Dy 3.62-3.63, 3 Pm 3.64-3.71, 6 La 3.66-3.70
Pm5 0.6671 0.6671 0.9996  4 Pm 3.67-3.71, 8 La 3.68-3.70
Dy1 0.1677 0.1677 0.4998  5 La 3.61-3.67, 5 Pm 3.62-3.70, 2 Dy 3.66
Dy2 0.8323 0.8323 0.5002  5 La 3.61-3.67, 5 Pm 3.62-3.70, 2 Dy 3.66

Summary:
calculated volume: 421 Å³ per cell
DFT formation energy: 0.02 eV per atom
crystal system: monoclinic
SG: No. 12


Here is CsIn6Pb2 after structural relaxation from the Alexandria database. Energies are from GGA-PBE.

a b c (Å): 5.5134 5.5134 9.8899
angles (deg): 90.00 90.00 90.00
With the nearest neighbours (Å) after each atom.
Atoms (fractional coordinates):
Cs1 0.0000 0.0000 0.0000  8 Pb 4.22, 8 In 4.24
In1 0.0000 0.0000 0.5000  8 In 3.25
In2 0.0000 0.5000 0.3260  2 Pb 3.19, 5 In 3.25-3.44
In3 0.0000 0.5000 0.6740  2 Pb 3.19, 5 In 3.25-3.44
In4 0.5000 0.0000 0.3260  2 Pb 3.19, 5 In 3.25-3.44
In5 0.5000 0.0000 0.6740  2 Pb 3.19, 5 In 3.25-3.44
In6 0.5000 0.5000 0.5000  8 In 3.25, 2 Pb 3.33
Pb1 0.5000 0.5000 0.1631  5 In 3.19-3.33, 1 Pb 3.23
Pb2 0.5000 0.5000 0.8369  5 In 3.19-3.33, 1 Pb 3.23

Summary:
calculated volume: 301 Å³ per cell
DFT formation energy: -0.04 eV per atom
crystal system: tetragonal
SG: No. 123


Here is AsPt2Pb after structural relaxation from the Alexandria database. Energies are from GGA-PBE.

a b c (Å): 3.5564 3.5564 6.3498
angles (deg): 90.00 90.00 90.00
With the nearest neighbours (Å) after each atom.
Atoms (fractional coordinates):
As1 0.0000 0.0000 0.0000  5 Pt 2.45-2.64
Pt1 0.0000 0.0000 0.6135  1 As 2.45
Pt2 0.5000 0.5000 0.8746  4 As 2.64
Pb1 0.5000 0.5000 0.3866  5 Pt 2.90-3.10

Summary:
calculated volume: 80 Å³ per cell
DFT formation energy: -0.15 eV per atom
crystal system: tetragonal
SG: No. 99


Here is SrMgSe3 after structural relaxation from the Alexandria database. Energies are from GGA-PBE.

a b c (Å): 5.7252 5.7252 5.7252
angles (deg): 90.00 90.00 90.00
With the nearest neighbours (Å) after each atom.
Atoms (fractional coordinates):
Sr1 0.0000 0.0000 0.0000  6 Se 2.86
Mg1 0.5000 0.5000 0.5000  12 Se 4.05
Se1 0.0000 0.0000 0.5000  2 Sr 2.86
Se2 0.0000 0.5000 0.0000  2 Sr 2.86
Se3 0.5000 0.0000 0.0000  2 Sr 2.86

Summary:
calculated volume: 188 Å³ per cell
energy relative to the lowest polymorph listed for this composition: 0.894 eV per atom
crystal system: cubic
SG: No. 221
raw formation energy: -8 meV/atom


Here is Cs2RbMgF5 after structural relaxation from the Alexandria database. Energies are from GGA-PBE.

a b c (Å): 7.8651 7.8651 7.8651
angles (deg): 149.42 131.21 58.69
With the nearest neighbours (Å) after each atom.
Atoms (fractional coordinates):
Cs1 0.2163 0.2163 0.0000  7 F 2.95-3.03
Cs2 0.7837 0.7837 0.0000  7 F 2.95-3.03
Rb1 0.5000 0.0000 0.5000  10 F 3.10-3.25
Mg1 0.0000 0.5000 0.5000  6 F 2.05-2.07
F1 0.0000 0.0000 0.0000  2 Mg 2.07
F2 0.1177 0.3942 0.7234  1 Mg 2.05
F3 0.3292 0.6058 0.7234  1 Mg 2.05
F4 0.6708 0.3942 0.2766  1 Mg 2.05
F5 0.8823 0.6058 0.2766  1 Mg 2.05

Summary:
calculated volume: 185 Å³ per cell
crystal system: orthorhombic
SG: No. 71
raw formation energy: -2962 meV/atom


Here is ErMnIrPd after structural relaxation from the Alexandria database. Energies are from GGA-PBE.

a b c (Å): 4.6265 4.6265 4.6265
angles (deg): 60.00 60.00 60.00
With the nearest neighbours (Å) after each atom.
Atoms (fractional coordinates):
Er1 0.0000 0.0000 0.0000  4 Ir 2.83, 4 Pd 2.83
Mn1 0.5000 0.5000 0.5000  4 Pd 2.83, 4 Ir 2.83
Ir1 0.2500 0.2500 0.2500  4 Mn 2.83, 4 Er 2.83
Pd1 0.7500 0.7500 0.7500  4 Mn 2.83, 4 Er 2.83

Summary:
calculated volume: 70 Å³ per cell
DFT formation energy: -0.50 eV per atom
crystal system: cubic
SG: No. 216


Here is Dy2YEr after structural relaxation from the Alexandria database. Energies are from GGA-PBE.

a b c (Å): 3.9915 3.9915 8.0396
angles (deg): 90.00 90.00 90.00
With the nearest neighbours (Å) after each atom.
Atoms (fractional coordinates):
Dy1 0.0000 0.0000 0.2365  4 Er 3.40, 4 Y 3.53, 1 Dy 3.80
Dy2 0.0000 0.0000 0.7635  4 Er 3.40, 4 Y 3.53, 1 Dy 3.80
Y1 0.5000 0.5000 0.5000  8 Dy 3.53
Er1 0.5000 0.5000 0.0000  8 Dy 3.40

Summary:
calculated volume: 128 Å³ per cell
energy relative to the lowest polymorph listed for this composition: 0.121 eV per atom
DFT formation energy: 0.13 eV per atom
crystal system: tetragonal
SG: No. 123


Q: What is the formula in the tenth record?
A: Cs2RbMgF5